No. 1
Below is PmHf2 after structural relaxation, with properties calculated at the PBE level.

Space group: I4/mmm (139)
ΔH_f (0 K) (eV/atom): 0.136

a = 7.8954 Å, b = 7.8954 Å, c = 7.8954 Å
α = 156.52°, β = 156.52°, γ = 33.45°
Sites, in units of the cell vectors:
Pm  0.0000  0.0000  0.0000
Hf  0.3176  0.3176  0.0000
Hf  0.6824  0.6824  0.0000

---

No. 2
Below is BaSrHfNbO6 after structural relaxation, with properties calculated at the PBE level.

Formation energy from raw total energies (kcal/mol of atoms): -69.8
Space group: F-43m (216)

a = 5.8662 Å, b = 5.8662 Å, c = 5.8662 Å
α = 60.00°, β = 60.00°, γ = 60.00°
Sites, in units of the cell vectors:
Ba  0.0000  0.0000  0.0000
Sr  0.5000  0.5000  0.5000
Hf  0.2500  0.2500  0.2500
Nb  0.7500  0.7500  0.7500
O  0.5017  0.5017  0.9983
O  0.5017  0.9983  0.5017
O  0.5017  0.9983  0.9983
O  0.9983  0.5017  0.5017
O  0.9983  0.5017  0.9983
O  0.9983  0.9983  0.5017

---

No. 3
Below is Tb5DyYTm2 after structural relaxation, with properties calculated at the PBE level.

Space group: Cmc2_1 (36)
ΔH_f (0 K) (eV/atom): 0.162

a = 10.3535 Å, b = 10.3535 Å, c = 10.5065 Å
α = 90.00°, β = 90.00°, γ = 148.72°
Sites, in units of the cell vectors:
Tb  0.0170  0.9830  0.5000
Tb  0.2800  0.7200  0.7876
Tb  0.2999  0.7001  0.1859
Tb  0.3893  0.6107  0.5015
Tb  0.4790  0.5210  0.2172
Tb  0.5210  0.4790  0.7172
Tb  0.6107  0.3893  0.0015
Tb  0.7001  0.2999  0.6859
Tb  0.7200  0.2800  0.2876
Tb  0.9830  0.0170  0.0000
Dy  0.1991  0.8009  0.4895
Dy  0.8009  0.1991  0.9895
Y  0.4117  0.5883  0.9324
Y  0.5883  0.4117  0.4324
Tm  0.1107  0.8893  0.2152
Tm  0.1136  0.8864  0.7934
Tm  0.8864  0.1136  0.2934
Tm  0.8893  0.1107  0.7152

---

No. 4
Below is BeBPO2 after structural relaxation, with properties calculated at the PBE level.

Formation energy from raw total energies (kcal/mol of atoms): -4.5
Space group: P4/mmm (123)

a = 3.0304 Å, b = 3.0304 Å, c = 7.6781 Å
α = 90.00°, β = 90.00°, γ = 90.00°
Sites, in units of the cell vectors:
Be  0.0000  0.0000  0.0000
B  0.5000  0.5000  0.5000
P  0.5000  0.5000  0.0000
O  0.0000  0.5000  0.5000
O  0.5000  0.0000  0.5000

---

| no. | total magnetic moment (μB/cell) |
| --- | --- |
| 1 | 0.0 |
| 2 | 0.0 |
| 3 | 0.0 |
| 4 | 0.0 |